## Sr3Cd9Hg2 (PBE-GGA)

Data for Sr3Cd9Hg2 after structural relaxation.

```
Sr3Cd9Hg2
1.0
-2.490 5.132 7.398
2.490 -5.132 7.398
2.490 5.132 -7.398
Sr Cd Hg
3 9 2
direct
0.000 0.000 0.000
0.303 0.303 0.000
0.697 0.697 0.000
0.027 0.666 0.361
0.149 0.864 0.285
0.305 0.666 0.639
0.421 0.136 0.285
0.500 0.000 0.500
0.579 0.864 0.715
0.695 0.334 0.361
0.851 0.136 0.715
0.973 0.334 0.639
0.303 0.500 0.803
0.697 0.500 0.197
```

Calculated values
The energy relative to the elements comes out at -380 kJ/mol of formula units. The density of states at the Fermi level comes out at 4.3 states/eV/f.u. Its total energy is -1.2728 eV per atom. The density is 7.36 g/cm3.